No. 1
First-principles (GGA-PBE) data for crystalline ErAs2F8 at its relaxed geometry, as listed in the Alexandria database.

The formation energy (no corrections) is -2.5543 eV per atom. The total magnetic moment comes out at 0.0000 μB/atom.

The structure belongs to space group C2/m (No. 12); the cell edges are 11.0202, 5.5012 and 5.7019 Å and the angles 90.00°, 91.15° and 90.00°. The distinct sites, in fractional coordinates, are Er at (0.0000, 0.0000, 0.0000), As at (0.2363, 0.0000, 0.4108), F at (0.1000, 0.0000, 0.6877), F at (0.1321, 0.2191, 0.2156) and F at (0.1475, 0.5000, 0.8096).



No. 2
First-principles (GGA-PBE) data for crystalline Sb2TeRu at its relaxed geometry, as listed in the Alexandria database.

The formation energy (no corrections) is -0.0038 eV per atom. The total magnetic moment comes out at 0.0000 μB/atom.

The structure belongs to space group Amm2 (No. 38); the cell edges are 4.1046, 5.1482 and 9.8293 Å and the angles 90.00°, 90.00° and 90.00°. The distinct sites, in fractional coordinates, are Sb at (0.0000, 0.0000, 0.0000), Sb at (0.5000, 0.0000, 0.3315), Te at (0.0000, 0.0000, 0.6480) and Ru at (0.5000, 0.0000, 0.8273).



No. 3
First-principles (GGA-PBE) data for crystalline AcPmNp2O8 at its relaxed geometry, as listed in the Alexandria database.

The formation energy (no corrections) is -3.1462 eV per atom. The total magnetic moment comes out at 0.3333 μB/atom.

The structure belongs to space group I-4m2 (No. 119); the cell edges are 5.5557, 5.5557 and 10.8463 Å and the angles 90.00°, 90.00° and 90.00°. The distinct sites, in fractional coordinates, are Ac at (0.0000, 0.0000, 0.0000), Pm at (0.0000, 0.5000, 0.7500), Np at (0.0000, 0.0000, 0.5000), Np at (0.0000, 0.5000, 0.2500) and O at (0.2232, 0.2440, 0.3727).



total magnetic moment of number 2 (Sb2TeRu)?
0.0000 μB/atom